(1)
# PrPuS2

PrPuS2 after structural relaxation (PBE-GGA, Alexandria).

Output
Its space group is R3m, No. 160. As for the formation energy (no corrections): -1.805 eV per atom.

abc: 3.9283 3.9283 7.4058
angles: 74.62 74.62 60.00
Last column: nearest neighbours and their distance in Å.
Positions (direct):
S (0.0781, 0.0781, 0.7657)  3 Pu 2.75, 3 Pr 2.89
S (0.2550, 0.2550, 0.2350)  3 Pu 2.86, 3 Pr 2.99
Pr (0.4959, 0.4959, 0.5123)  6 S 2.89-2.99
Pu (0.6710, 0.6710, 0.9870)  6 S 2.75-2.86

(2)
# Pr2PuS5

Pr2PuS5 after structural relaxation (PBE-GGA, Alexandria).

Output
Its space group is Pnma, No. 62. As for the formation energy (no corrections): -1.830 eV per atom.

abc: 7.5556 8.1075 11.9900
angles: 90.00 90.00 90.00
Last column: nearest neighbours and their distance in Å.
Positions (direct):
S (0.6887, 0.7500, 0.7114)  1 Pu 2.78, 4 Pr 2.94-2.98
S (0.1648, 0.5365, 0.0932)  2 Pu 2.68, 2 Pr 2.94-2.97
S (0.1648, 0.9635, 0.0932)  2 Pu 2.68, 2 Pr 2.94-2.97
S (0.3352, 0.9635, 0.5932)  2 Pu 2.68, 2 Pr 2.94-2.97
S (0.0490, 0.2500, 0.5015)  4 Pr 2.94-2.97, 1 Pu 2.98, 1 S 3.23
S (0.9510, 0.7500, 0.4985)  4 Pr 2.94-2.97, 1 Pu 2.98, 1 S 3.23
S (0.3352, 0.5365, 0.5932)  2 Pu 2.68, 2 Pr 2.94-2.97
S (0.6656, 0.2500, 0.6894)  1 Pu 2.78, 4 Pr 2.98-3.07
S (0.1887, 0.2500, 0.7886)  1 Pu 2.78, 4 Pr 2.94-2.98
S (0.8352, 0.0365, 0.9068)  2 Pu 2.68, 2 Pr 2.94-2.97
S (0.1656, 0.7500, 0.8106)  1 Pu 2.78, 4 Pr 2.98-3.07
S (0.8352, 0.4635, 0.9068)  2 Pu 2.68, 2 Pr 2.94-2.97
S (0.8344, 0.2500, 0.1894)  1 Pu 2.78, 4 Pr 2.98-3.07
S (0.6648, 0.4635, 0.4068)  2 Pu 2.68, 2 Pr 2.94-2.97
S (0.8113, 0.7500, 0.2114)  1 Pu 2.78, 4 Pr 2.94-2.98
S (0.3113, 0.2500, 0.2886)  1 Pu 2.78, 4 Pr 2.94-2.98
S (0.3344, 0.7500, 0.3106)  1 Pu 2.78, 4 Pr 2.98-3.07
S (0.6648, 0.0365, 0.4068)  2 Pu 2.68, 2 Pr 2.94-2.97
S (0.5490, 0.7500, 0.9985)  4 Pr 2.94-2.97, 1 Pu 2.98, 1 S 3.23
S (0.4510, 0.2500, 0.0015)  4 Pr 2.94-2.97, 1 Pu 2.98, 1 S 3.23
Pr (0.9708, 0.4994, 0.6757)  8 S 2.94-3.07
Pr (0.4708, 0.9994, 0.8243)  8 S 2.94-3.07
Pr (0.5292, 0.4994, 0.1757)  8 S 2.94-3.07
Pr (0.0292, 0.5006, 0.3243)  8 S 2.94-3.07
Pr (0.5292, 0.0006, 0.1757)  8 S 2.94-3.07
Pr (0.9708, 0.0006, 0.6757)  8 S 2.94-3.07
Pr (0.0292, 0.9994, 0.3243)  8 S 2.94-3.07
Pr (0.4708, 0.5006, 0.8243)  8 S 2.94-3.07
Pu (0.4438, 0.2500, 0.5046)  7 S 2.68-2.98
Pu (0.9438, 0.7500, 0.9954)  7 S 2.68-2.98
Pu (0.5562, 0.7500, 0.4954)  7 S 2.68-2.98
Pu (0.0562, 0.2500, 0.0046)  7 S 2.68-2.98